The following is a DFT calculation (GGA+U) of a geometry-optimized AcPu2MnO8 structure.

Cell: 5.3802 5.3802 6.5743 Å, 90.00 90.00 120.00°
Fractional positions:
Ac (0.0000, 0.0000, 0.0000)
Pu (0.3333, 0.6667, 0.3725)
Pu (0.6667, 0.3333, 0.6275)
Mn (0.0000, 0.0000, 0.5000)
O (0.0820, 0.3240, 0.6636)
O (0.2421, 0.9180, 0.6636)
O (0.3240, 0.2421, 0.3364)
O (0.3333, 0.6667, 0.0788)
O (0.6667, 0.3333, 0.9212)
O (0.6760, 0.7579, 0.6636)
O (0.7579, 0.0820, 0.3364)
O (0.9180, 0.6760, 0.3364)

Properties
* total magnetization: 10.00 μB/f.u.
* total DFT energy (no corrections): -109.13 eV/cell
* V: 165 Å³/cell

***

The following is a DFT calculation (GGA+U) of a geometry-optimized Ac2PuMnO8 structure.

Cell: 4.5843 5.4661 7.7676 Å, 81.98 86.80 80.76°
Fractional positions:
Ac (0.0413, 0.0558, 0.2370)
Ac (0.9587, 0.9442, 0.7630)
Pu (0.5000, 0.5000, 0.5000)
Mn (0.5000, 0.5000, 0.0000)
O (0.1140, 0.7087, 0.5055)
O (0.1736, 0.7512, 0.0351)
O (0.3981, 0.2237, 0.6583)
O (0.4603, 0.3326, 0.2426)
O (0.5397, 0.6674, 0.7574)
O (0.6019, 0.7763, 0.3417)
O (0.8264, 0.2488, 0.9649)
O (0.8860, 0.2913, 0.4945)

Properties
* total magnetization: 5.00 μB/f.u.
* total DFT energy (no corrections): -100.91 eV/cell
* V: 190 Å³/cell

***

The following is a DFT calculation (GGA+U) of a geometry-optimized AcPuMn2O6 structure.

Cell: 6.2806 6.2806 4.5718 Å, 90.00 90.00 90.00°
Fractional positions:
Ac (0.0000, 0.0000, 0.0000)
Pu (0.5000, 0.5000, 0.1349)
Mn (0.0000, 0.5000, 0.3129)
Mn (0.5000, 0.0000, 0.3129)
O (0.0000, 0.0000, 0.5172)
O (0.2636, 0.2636, 0.1786)
O (0.2636, 0.7364, 0.1786)
O (0.5000, 0.5000, 0.6475)
O (0.7364, 0.2636, 0.1786)
O (0.7364, 0.7364, 0.1786)

Properties
* total magnetization: 13.00 μB/f.u.
* total DFT energy (no corrections): -82.97 eV/cell
* V: 180 Å³/cell

***

The following is a DFT calculation (GGA+U) of a geometry-optimized Rb3Ac3MnO8 structure.

Cell: 7.8873 7.8873 7.8873 Å, 55.61 55.61 55.61°
Fractional positions:
Rb (0.0000, 0.5000, 0.5000)
Rb (0.5000, 0.0000, 0.5000)
Rb (0.5000, 0.5000, 0.0000)
Ac (0.0000, 0.0000, 0.5000)
Ac (0.0000, 0.5000, 0.0000)
Ac (0.5000, 0.0000, 0.0000)
Mn (0.5000, 0.5000, 0.5000)
O (0.2299, 0.2299, 0.2299)
O (0.2745, 0.6942, 0.6942)
O (0.3058, 0.3058, 0.7255)
O (0.3058, 0.7255, 0.3058)
O (0.6942, 0.2745, 0.6942)
O (0.6942, 0.6942, 0.2745)
O (0.7255, 0.3058, 0.3058)
O (0.7701, 0.7701, 0.7701)

Properties
* total magnetization: 2.95 μB/f.u.
* total DFT energy (no corrections): -95.70 eV/cell
* V: 312 Å³/cell

***

The following is a DFT calculation (GGA+U) of a geometry-optimized RbAc2MnO5 structure.

Cell: 7.1904 7.1904 5.9965 Å, 90.00 90.00 90.00°
Fractional positions:
Rb (0.0000, 0.0000, 0.0000)
Rb (0.5000, 0.5000, 0.0000)
Ac (0.1824, 0.3176, 0.5000)
Ac (0.3176, 0.8176, 0.5000)
Ac (0.6824, 0.1824, 0.5000)
Ac (0.8176, 0.6824, 0.5000)
Mn (0.0000, 0.5000, 0.0000)
Mn (0.5000, 0.0000, 0.0000)
O (0.0000, 0.0000, 0.5000)
O (0.1282, 0.6282, 0.2363)
O (0.1282, 0.6282, 0.7637)
O (0.3718, 0.1282, 0.2363)
O (0.3718, 0.1282, 0.7637)
O (0.5000, 0.5000, 0.5000)
O (0.6282, 0.8718, 0.2363)
O (0.6282, 0.8718, 0.7637)
O (0.8718, 0.3718, 0.2363)
O (0.8718, 0.3718, 0.7637)

Properties
* total magnetization: 4.01 μB/f.u.
* total DFT energy (no corrections): -127.97 eV/cell
* V: 310 Å³/cell

***

The following is a DFT calculation (GGA+U) of a geometry-optimized Ac2MnReO8 structure.

Cell: 4.4936 5.5225 7.1172 Å, 84.29 87.76 83.03°
Fractional positions:
Ac (0.1909, 0.0186, 0.2466)
Ac (0.8091, 0.9814, 0.7534)
Mn (0.5000, 0.5000, 0.0000)
Re (0.5000, 0.5000, 0.5000)
O (0.1955, 0.7447, 0.5557)
O (0.2939, 0.8198, 0.9477)
O (0.3009, 0.2512, 0.6263)
O (0.3132, 0.4736, 0.2536)
O (0.6868, 0.5264, 0.7464)
O (0.6991, 0.7488, 0.3737)
O (0.7061, 0.1802, 0.0523)
O (0.8045, 0.2553, 0.4443)

Properties
* total magnetization: 3.95 μB/f.u.
* total DFT energy (no corrections): -95.64 eV/cell
* V: 174 Å³/cell